# 1
Entry from Alexandria via LeMat-Bulk: a relaxed LaY3Zn4 crystal (PBE).

calculated total energy	-4.0117	eV/atom
density	5.81	g cm⁻³
N(E_F)	8.7	states/eV/cell
calculated formation energy	-335	meV/atom

Cell lengths 5.113, 5.113, 7.294 Å; angles 90.00, 90.00, 90.00 degrees
Fractional positions:
La1 0.000 0.000 0.000
Y1 0.000 0.000 0.500
Y2 0.500 0.500 0.000
Y3 0.500 0.500 0.500
Zn1 0.000 0.500 0.262
Zn2 0.000 0.500 0.738
Zn3 0.500 0.000 0.262
Zn4 0.500 0.000 0.738


# 2
Entry from Alexandria via LeMat-Bulk: a relaxed La2YZn2 crystal (PBE).

calculated total energy	-3.9680	eV/atom
ΔE to the lowest computed polymorph	24	meV/atom
density	5.85	g cm⁻³
N(E_F)	17.8	states/eV/cell
calculated formation energy	-195	meV/atom

Cell lengths 8.627, 8.627, 3.796 Å; angles 90.00, 90.00, 90.00 degrees
Fractional positions:
La1 0.167 0.333 0.000
La2 0.333 0.833 0.000
La3 0.667 0.167 0.000
La4 0.833 0.667 0.000
Y1 0.000 0.000 0.500
Y2 0.500 0.500 0.500
Zn1 0.127 0.627 0.500
Zn2 0.373 0.127 0.500
Zn3 0.627 0.873 0.500
Zn4 0.873 0.373 0.500


# 3
Entry from Alexandria via LeMat-Bulk: a relaxed La2YZn2 crystal (PBE).

calculated total energy	-3.8161	eV/atom
ΔE to the lowest computed polymorph	176	meV/atom
density	5.83	g cm⁻³
N(E_F)	11.1	states/eV/cell
calculated formation energy	-43	meV/atom

Cell lengths 7.375, 7.375, 7.375 Å; angles 143.41, 143.41, 52.71 degrees
Fractional positions:
La1 0.250 0.750 0.500
La2 0.750 0.250 0.500
Y1 0.000 0.000 0.000
Zn1 0.410 0.410 0.000
Zn2 0.590 0.590 0.000


# 4
Entry from Alexandria via LeMat-Bulk: a relaxed La4YZr crystal (PBE).

calculated total energy	-5.3804	eV/atom
density	6.10	g cm⁻³
N(E_F)	12.0	states/eV/cell
calculated formation energy	407	meV/atom

Cell lengths 6.569, 6.569, 6.569 Å; angles 60.00, 60.00, 60.00 degrees
Fractional positions:
La1 0.376 0.376 0.376
La2 0.376 0.376 0.871
La3 0.376 0.871 0.376
La4 0.871 0.376 0.376
Y1 0.000 0.000 0.000
Zr1 0.750 0.750 0.750


# 5
Entry from Alexandria via LeMat-Bulk: a relaxed LaYZr crystal (PBE).

calculated total energy	-6.4616	eV/atom
ΔE to the lowest computed polymorph	75	meV/atom
density	5.87	g cm⁻³
N(E_F)	5.1	states/eV/cell
calculated formation energy	185	meV/atom

Cell lengths 5.517, 5.517, 3.422 Å; angles 90.00, 90.00, 120.00 degrees
Fractional positions:
La1 0.000 0.000 0.000
Y1 0.667 0.333 0.500
Zr1 0.333 0.667 0.500


# 6
Entry from Alexandria via LeMat-Bulk: a relaxed LaYZr crystal (PBE).

calculated total energy	-6.5085	eV/atom
ΔE to the lowest computed polymorph	28	meV/atom
density	6.01	g cm⁻³
N(E_F)	10.8	states/eV/cell
calculated formation energy	138	meV/atom

Cell lengths 5.459, 5.459, 6.836 Å; angles 90.00, 90.00, 120.00 degrees
Fractional positions:
La1 0.333 0.667 0.000
La2 0.667 0.333 0.000
Y1 0.000 0.000 0.268
Y2 0.000 0.000 0.732
Zr1 0.333 0.667 0.500
Zr2 0.667 0.333 0.500


Which of these has the lowest calculated formation energy? LaY3Zn4


calculated formation energy of number 3 (La2YZn2)? -43 meV/atom


Copy entry 1 word for word.
Entry from Alexandria via LeMat-Bulk: a relaxed LaY3Zn4 crystal (PBE).

calculated total energy	-4.0117	eV/atom
density	5.81	g cm⁻³
N(E_F)	8.7	states/eV/cell
calculated formation energy	-335	meV/atom

Cell lengths 5.113, 5.113, 7.294 Å; angles 90.00, 90.00, 90.00 degrees
Fractional positions:
La1 0.000 0.000 0.000
Y1 0.000 0.000 0.500
Y2 0.500 0.500 0.000
Y3 0.500 0.500 0.500
Zn1 0.000 0.500 0.262
Zn2 0.000 0.500 0.738
Zn3 0.500 0.000 0.262
Zn4 0.500 0.000 0.738